(1)
Entry from the Alexandria database: an optimized crystal structure of Mn2NiIr (PBE).

```
Mn2NiIr
1.0
2.624 0.000 0.000
0.000 3.617 0.000
0.000 0.000 5.107
Mn Ni Ir
2 1 1
direct
0.000 0.000 0.241
0.000 0.000 0.759
0.500 0.500 0.000
0.500 0.500 0.500
```

Summary:
**DFT total energy**: -8.293 eV/atom
**Mass density**: 12.36 Mg/m³
**Formation energy from the elements**: -48 meV per atom


(2)
Entry from the Alexandria database: an optimized crystal structure of Mn2NiIr (PBE).

```
Mn2NiIr
1.0
2.685 0.000 0.000
0.000 3.613 0.000
0.000 0.000 5.241
Mn Ni Ir
2 1 1
direct
0.000 0.000 0.000
0.500 0.500 0.260
0.000 0.000 0.497
0.500 0.500 0.752
```

Summary:
**DFT total energy**: -8.345 eV/atom
**Mass density**: 11.78 Mg/m³
**Formation energy from the elements**: -100 meV per atom


(3)
Entry from the Alexandria database: an optimized crystal structure of MnNi2Ir (PBE).

```
MnNi2Ir
1.0
1.330 0.768 8.271
-1.330 0.768 8.271
0.000 -1.536 8.271
Mn Ni Ir
1 2 1
direct
0.000 0.000 0.000
0.253 0.253 0.253
0.747 0.747 0.747
0.500 0.500 0.500
```

Summary:
**DFT total energy**: -7.312 eV/atom
**Mass density**: 11.94 Mg/m³
**Formation energy from the elements**: 86 meV per atom


(4)
Entry from the Alexandria database: an optimized crystal structure of Mn2NiIr (PBE).

```
Mn2NiIr
1.0
4.271 -1.315 0.000
4.271 1.315 0.000
-0.798 0.000 4.310
Mn Ni Ir
2 1 1
direct
0.249 0.249 0.241
0.751 0.751 0.759
0.500 0.500 0.000
0.000 0.000 0.500
```

Summary:
**DFT total energy**: -8.223 eV/atom
**Mass density**: 12.38 Mg/m³
**Formation energy from the elements**: 22 meV per atom